Crystalline CaCo2HPb at its relaxed geometry. Source: Alexandria via LeMat-Bulk, functional PBEsol.

Properties
Volume = 14.45 A^3/atom
Electronic total energy = -22.355 eV per formula unit
Space-group type = P4/mmm
ρ = 8.41 g/cm³

Unit cell a=4.077 b=4.077 c=4.348 alpha=90.00 beta=90.00 gamma=90.00
Site moments in Bohr magnetons follow the coordinates.
Atoms (fractional coordinates):
Pb  0.000  0.000  0.500  -0.03
H  0.000  0.000  0.000  -0.01
Ca  0.500  0.500  0.500  -0.05
Co  0.000  0.500  0.000  0.74
Co  0.500  0.000  0.000  0.74